This record from Alexandria via LeMat-Bulk describes a relaxed NaSn2Hg crystal. The functional is PBE.

```
NaSn2Hg
1.0
3.240 -4.981 0.000
3.240 4.981 0.000
0.000 0.000 3.224
Na Sn Hg
1 2 1
direct
0.000 0.000 0.000 Na
0.000 0.500 0.500 Sn
0.500 0.000 0.500 Sn
0.500 0.500 0.000 Hg
```

Output
VASP energy ... -9.9 eV/cell
Space group ... Cmmm
Calculated formation energy ... -78 meV per atom

=====

This record from Alexandria via LeMat-Bulk describes a relaxed Na2SnHg crystal. The functional is PBE.

```
Na2SnHg
1.0
7.818 0.000 0.000
0.000 6.095 0.000
0.000 0.000 9.614
Na Sn Hg
8 4 4
direct
0.090 0.250 0.067 Na
0.090 0.250 0.433 Na
0.410 0.750 0.067 Na
0.410 0.750 0.433 Na
0.590 0.250 0.567 Na
0.590 0.250 0.933 Na
0.910 0.750 0.567 Na
0.910 0.750 0.933 Na
0.062 0.750 0.250 Sn
0.438 0.250 0.250 Sn
0.562 0.750 0.750 Sn
0.938 0.250 0.750 Sn
0.250 0.000 0.749 Hg
0.250 0.500 0.751 Hg
0.750 0.000 0.251 Hg
0.750 0.500 0.249 Hg
```

Output
VASP energy ... -31.1 eV/cell
Space group ... Pnna
Calculated formation energy ... -210 meV per atom

=====

This record from Alexandria via LeMat-Bulk describes a relaxed NaSnHg14 crystal. The functional is PBE.

```
NaSnHg14
1.0
3.703 -5.380 0.000
3.703 5.380 0.000
0.000 0.000 10.667
Na Sn Hg
1 1 14
direct
0.000 0.000 0.000 Na
0.500 0.500 0.000 Sn
0.000 0.000 0.500 Hg
0.000 0.500 0.000 Hg
0.000 0.500 0.500 Hg
0.231 0.769 0.249 Hg
0.231 0.769 0.751 Hg
0.269 0.269 0.251 Hg
0.269 0.269 0.749 Hg
0.500 0.000 0.000 Hg
0.500 0.000 0.500 Hg
0.500 0.500 0.500 Hg
0.731 0.731 0.251 Hg
0.731 0.731 0.749 Hg
0.769 0.231 0.249 Hg
0.769 0.231 0.751 Hg
```

Output
VASP energy ... -9.9 eV/cell
Space group ... Cmmm
Calculated formation energy ... -24 meV per atom

=====

Question: Which value of calculated formation energy does entry 3 give?
Answer: -24 meV per atom